Compound: CaTl2SnH
Source: Alexandria
Functional: GGA-PBE
Structure: optimized geometry

SG	P4/mmm (123)
final energy	-2.95	eV/atom
crystal system	tetragonal

a b c (Å): 5.0074 5.0074 4.7393
angles (deg): 90.00 90.00 90.00
Last column: nearest neighbours and their distance in Å.
Fractional coordinates of all 5 atoms:
1 Tl 0.0000 0.5000 0.0000  2 H 2.50
2 H 0.0000 0.0000 0.0000  2 Ca 2.37, 4 Tl 2.50
3 Sn 0.5000 0.5000 0.5000  8 Tl 3.45, 4 Ca 3.54
4 Ca 0.0000 0.0000 0.5000  2 H 2.37
5 Tl 0.5000 0.0000 0.0000  2 H 2.50

=====

Compound: LiTa2
Source: Alexandria
Functional: GGA-PBE
Structure: optimized geometry

SG	I4/mmm (139)
offset from the most stable computed form	0.174	eV/atom
crystal system	tetragonal
formation enthalpy at 0 K	442	meV per atom

a b c (Å): 4.9817 4.9817 4.9817
angles (deg): 140.48 140.48 57.13
Last column: nearest neighbours and their distance in Å.
Fractional coordinates of all 3 atoms:
1 Li 0.0000 0.0000 0.0000  10 Ta 2.78-2.93
2 Ta 0.3353 0.3353 0.0000  5 Li 2.78-2.93, 5 Ta 2.81-2.88
3 Ta 0.6647 0.6647 0.0000  5 Li 2.78-2.93, 5 Ta 2.81-2.88

=====

Compound: Pr5DyEr6
Source: Alexandria
Functional: GGA-PBE
Structure: optimized geometry

SG	Immm (71)
crystal system	orthorhombic
formation enthalpy at 0 K	21	meV per atom

a b c (Å): 5.1216 10.0406 9.5156
angles (deg): 121.85 105.62 89.99
Last column: nearest neighbours and their distance in Å.
Fractional coordinates of all 12 atoms:
1 Pr 0.6647 0.1646 0.3293  8 Er 3.55-3.62, 2 Dy 3.60, 2 Pr 3.64
2 Pr 0.3353 0.8354 0.6707  8 Er 3.55-3.62, 2 Dy 3.60, 2 Pr 3.64
3 Er 0.5000 0.7515 0.0000  6 Pr 3.55-3.60, 2 Dy 3.57-3.58, 4 Er 3.61
4 Er 0.1660 0.9171 0.3323  1 Dy 3.57, 7 Pr 3.58-3.62, 4 Er 3.61-3.63
5 Pr 0.6668 0.6668 0.3336  8 Er 3.58-3.59, 4 Pr 3.62-3.64
6 Er 0.1660 0.4152 0.3323  1 Dy 3.57, 7 Pr 3.58-3.62, 4 Er 3.61-3.63
7 Er 0.5000 0.2485 0.0000  6 Pr 3.55-3.60, 2 Dy 3.57-3.58, 4 Er 3.61
8 Er 0.8340 0.0829 0.6677  1 Dy 3.57, 7 Pr 3.58-3.62, 4 Er 3.61-3.63
9 Pr 0.0000 0.5000 0.0000  8 Er 3.58-3.60, 4 Pr 3.62
10 Dy 0.0000 0.0000 0.0000  8 Er 3.57-3.58, 4 Pr 3.60
11 Er 0.8340 0.5848 0.6677  1 Dy 3.57, 7 Pr 3.58-3.62, 4 Er 3.61-3.63
12 Pr 0.3332 0.3332 0.6664  8 Er 3.58-3.59, 4 Pr 3.62-3.64

=====

Compound: CaTiFeCl
Source: Alexandria
Functional: GGA-PBE
Structure: optimized geometry

SG	I4mm (107)
offset from the most stable computed form	0.000	eV/atom
formation energy without anion corrections	-2.14	eV per formula unit
crystal system	tetragonal

a b c (Å): 3.2260 3.2260 14.9135
angles (deg): 90.00 90.00 90.00
Last column: nearest neighbours and their distance in Å.
Fractional coordinates of all 8 atoms:
1 Ti 0.5000 0.5000 0.6377  4 Fe 2.50, 1 Cl 2.56
2 Fe 0.5000 0.5000 0.2062  4 Ti 2.50
3 Cl 0.5000 0.5000 0.4660  1 Ti 2.56
4 Ca 0.0000 0.0000 0.3488  4 Cl 2.87, 4 Fe 3.12, 1 Ti 3.15
5 Cl 0.0000 0.0000 0.9660  1 Ti 2.56
6 Ti 0.0000 0.0000 0.1377  4 Fe 2.50, 1 Cl 2.56
7 Fe 0.0000 0.0000 0.7062  4 Ti 2.50
8 Ca 0.5000 0.5000 0.8488  4 Cl 2.87, 4 Fe 3.12, 1 Ti 3.15